(1)
# Ca2AcPbSe4

An optimized crystal structure of Ca2AcPbSe4 (PBE, Alexandria via LeMat-Bulk).

Values from the calculation:
Crystal system: monoclinic
Formation energy (no corrections): -1566.2 meV per atom
Total magnetic moment: 0.000 μB/cell

```
data_Ca2AcPbSe4
_chemical_formula_sum 'Ca2 Ac1 Pb1 Se4'
_space_group_name_H-M_alt 'P 1 2/m 1'
_space_group_IT_number 10
_space_group_name_Hall '-P 2y'
_cell_length_a 7.468
_cell_length_b 4.324
_cell_length_c 7.599
_cell_angle_alpha 90.00
_cell_angle_beta 109.27
_cell_angle_gamma 90.00
loop_
_atom_site_label
_atom_site_fract_x
_atom_site_fract_y
_atom_site_fract_z
_atom_site_occupancy
Ca1 0.000 0.000 0.000 1
Ca2 0.500 0.500 0.000 1
Ac1 0.000 0.500 0.500 1
Pb1 0.500 0.000 0.500 1
Se1 0.244 0.500 0.234 1
Se2 0.257 0.000 0.769 1
```

(2)
# Cd2MoCl

An optimized crystal structure of Cd2MoCl (PBE, Alexandria via LeMat-Bulk).

Values from the calculation:
Crystal system: monoclinic
Formation energy (no corrections): 497.9 meV per atom
Total magnetic moment: 0.665 μB/cell
Energy relative to the lowest polymorph listed for this composition: 364.1 meV per atom

```
data_Cd2MoCl
_chemical_formula_sum 'Cd2 Mo1 Cl1'
_space_group_name_H-M_alt 'P 1 2/m 1'
_space_group_IT_number 10
_space_group_name_Hall '-P 2y'
_cell_length_a 5.202
_cell_length_b 2.979
_cell_length_c 5.376
_cell_angle_alpha 90.00
_cell_angle_beta 111.39
_cell_angle_gamma 90.00
loop_
_atom_site_label
_atom_site_fract_x
_atom_site_fract_y
_atom_site_fract_z
_atom_site_occupancy
Cd1 0.000 0.000 0.000 1
Cd2 0.500 0.500 0.000 1
Mo1 0.000 0.500 0.500 1
Cl1 0.500 0.000 0.500 1
```

(3)
# Mg2ScBr

An optimized crystal structure of Mg2ScBr (PBE, Alexandria via LeMat-Bulk).

Values from the calculation:
Crystal system: tetragonal
Formation energy (no corrections): -77.2 meV per atom
Total magnetic moment: 1.613 μB/cell
Energy relative to the lowest polymorph listed for this composition: 297.3 meV per atom

```
data_Mg2ScBr
_chemical_formula_sum 'Mg8 Sc4 Br4'
_space_group_name_H-M_alt 'I -4 2 d'
_space_group_IT_number 122
_space_group_name_Hall 'I -4 2bw'
_cell_length_a 8.336
_cell_length_b 8.336
_cell_length_c 5.835
_cell_angle_alpha 90.00
_cell_angle_beta 90.00
_cell_angle_gamma 90.00
loop_
_atom_site_label
_atom_site_fract_x
_atom_site_fract_y
_atom_site_fract_z
_atom_site_occupancy
Mg1 0.222 0.250 0.125 1
Sc1 0.000 0.000 0.500 1
Br1 0.000 0.000 0.000 1
```

Question: formation energy (no corrections) of number 1 (Ca2AcPbSe4)?
Answer: -1566.2 meV per atom

Question: Which of these has the lowest total magnetic moment?
Answer: Ca2AcPbSe4

Question: Which of these has the highest formation energy (no corrections)?
Answer: Cd2MoCl

Question: Which of these has the lowest formation energy (no corrections)?
Answer: Ca2AcPbSe4